Computed, not measured: a geometry-optimized Li3Mn2C3O9F structure at the PBE+U level of DFT.

Summary:
The density is 2.90 g/cm³. The total DFT energy (no corrections) comes out at -509.0 eV per cell. The value obtained for the density of states at the Fermi level is 0.000 states/eV per cell.

Lattice parameters (Å, degrees): 7.639 15.673 6.474 90.00 102.83 90.00
Space group Cc (No. 9)
One atom of each set of equivalent atoms:
Li: 0.000 0.102 0.000 x4
Li: 0.178 0.329 0.633 x4
Li: 0.481 0.392 0.001 x4
Mn: 0.108 0.313 0.145 x4
Mn: 0.348 0.018 0.849 x4
C: 0.221 0.498 0.182 x4
C: 0.280 0.186 0.371 x4
C: 0.295 0.194 0.871 x4
O: 0.048 0.493 0.664 x4
O: 0.123 0.175 0.250 x4
O: 0.160 0.146 0.792 x4
O: 0.276 0.274 0.920 x4
O: 0.292 0.422 0.192 x4
O: 0.320 0.435 0.687 x4
O: 0.324 0.262 0.451 x4
O: 0.396 0.125 0.414 x4
O: 0.456 0.160 0.901 x4
F: 0.157 0.000 0.045 x4